Density functional theory data (PBE) for a geometry-optimized Ba2ScBiO5 structure.

Summary:
Formation energy without anion corrections (eV per atom): -2.446
Electronic total energy (eV/cell): -121.73

a b c (Å): 7.614 7.614 11.559
angles (deg): 90.00 90.00 151.86
Atoms (fractional coordinates):
Ba 0.102 0.898 0.500
Ba 0.141 0.859 0.116
Ba 0.859 0.141 0.616
Ba 0.898 0.102 0.000
Sc 0.473 0.527 0.270
Sc 0.527 0.473 0.770
Bi 0.213 0.787 0.827
Bi 0.787 0.213 0.327
O 0.058 0.942 0.841
O 0.283 0.717 0.466
O 0.325 0.675 0.202
O 0.391 0.609 0.820
O 0.492 0.508 0.605
O 0.508 0.492 0.105
O 0.609 0.391 0.320
O 0.675 0.325 0.702
O 0.717 0.283 0.966
O 0.942 0.058 0.341

***

Density functional theory data (PBE) for a geometry-optimized Ba3Sc2BiO9 structure.

Summary:
Formation energy without anion corrections (eV per atom): -2.531
Electronic total energy (eV/cell): -104.90

a b c (Å): 5.993 5.993 7.360
angles (deg): 90.00 90.00 120.00
Atoms (fractional coordinates):
Ba 0.000 0.000 0.000
Ba 0.333 0.667 0.671
Ba 0.667 0.333 0.329
Sc 0.333 0.667 0.160
Sc 0.667 0.333 0.840
Bi 0.000 0.000 0.500
O 0.000 0.500 0.000
O 0.167 0.334 0.333
O 0.167 0.833 0.333
O 0.334 0.167 0.667
O 0.500 0.000 0.000
O 0.500 0.500 0.000
O 0.666 0.833 0.333
O 0.833 0.167 0.667
O 0.833 0.666 0.667

***

Density functional theory data (PBE) for a geometry-optimized BaBiSe2O8 structure.

Summary:
Formation energy without anion corrections (eV per atom): -1.134
Electronic total energy (eV/cell): -66.05

a b c (Å): 8.378 8.378 8.378
angles (deg): 37.88 37.88 37.88
Atoms (fractional coordinates):
Ba 0.000 0.000 0.000
Bi 0.500 0.500 0.500
Se 0.250 0.250 0.250
Se 0.750 0.750 0.750
O 0.075 0.781 0.458
O 0.219 0.542 0.925
O 0.322 0.322 0.322
O 0.458 0.075 0.781
O 0.542 0.925 0.219
O 0.678 0.678 0.678
O 0.781 0.458 0.075
O 0.925 0.219 0.542

***

Density functional theory data (PBE) for a geometry-optimized Ba2Bi2Se3O2 structure.

Summary:
Formation energy without anion corrections (eV per atom): -1.515
Electronic total energy (eV/cell): -45.61

a b c (Å): 7.416 7.416 10.038
angles (deg): 122.78 122.78 33.20
Atoms (fractional coordinates):
Ba 0.099 0.099 0.393
Ba 0.901 0.901 0.607
Bi 0.314 0.314 0.866
Bi 0.686 0.686 0.134
Se 0.000 0.000 0.000
Se 0.359 0.359 0.267
Se 0.641 0.641 0.733
O 0.313 0.313 0.653
O 0.687 0.687 0.347

***

Density functional theory data (PBE) for a geometry-optimized Ba2BiSeO structure.

Summary:
Formation energy without anion corrections (eV per atom): -1.166
Electronic total energy (eV/cell): -22.00

a b c (Å): 5.929 5.929 4.216
angles (deg): 90.00 90.00 90.00
Atoms (fractional coordinates):
Ba 0.000 0.500 0.000
Ba 0.500 0.000 0.000
Bi 0.000 0.000 0.500
Se 0.500 0.500 0.500
O 0.500 0.500 0.000

***

Density functional theory data (PBE) for a geometry-optimized Ba4BiSeO structure.

Summary:
Formation energy without anion corrections (eV per atom): -1.525
Electronic total energy (eV/cell): -61.38

a b c (Å): 9.927 9.927 7.434
angles (deg): 90.00 90.00 135.76
Atoms (fractional coordinates):
Ba 0.000 0.500 0.000
Ba 0.000 0.500 0.500
Ba 0.073 0.927 0.750
Ba 0.421 0.579 0.750
Ba 0.500 0.000 0.000
Ba 0.500 0.000 0.500
Ba 0.579 0.421 0.250
Ba 0.927 0.073 0.250
Bi 0.111 0.889 0.250
Bi 0.889 0.111 0.750
Se 0.380 0.620 0.250
Se 0.620 0.380 0.750
O 0.277 0.723 0.750
O 0.723 0.277 0.250

***

Density functional theory data (PBE) for a geometry-optimized Ba2BiSeO6 structure.

Summary:
Formation energy without anion corrections (eV per atom): -1.674
Electronic total energy (eV/cell): -57.70

a b c (Å): 6.039 6.039 6.039
angles (deg): 119.96 119.96 90.07
Atoms (fractional coordinates):
Ba 0.250 0.750 0.500
Ba 0.750 0.250 0.500
Bi 0.000 0.000 0.000
Se 0.500 0.500 0.000
O 0.269 0.269 0.000
O 0.269 0.269 0.538
O 0.269 0.731 0.000
O 0.731 0.269 0.000
O 0.731 0.731 0.000
O 0.731 0.731 0.462

***

Density functional theory data (PBE) for a geometry-optimized Ba2SmBi2O6 structure.

Summary:
Formation energy without anion corrections (eV per atom): -2.013
Electronic total energy (eV/cell): -68.21

a b c (Å): 6.443 6.443 7.188
angles (deg): 114.70 114.70 61.60
Atoms (fractional coordinates):
Ba 0.209 0.209 0.135
Ba 0.791 0.791 0.865
Sm 0.000 0.000 0.500
Bi 0.435 0.435 0.736
Bi 0.565 0.565 0.264
O 0.166 0.675 0.218
O 0.210 0.210 0.499
O 0.325 0.834 0.782
O 0.675 0.166 0.218
O 0.790 0.790 0.501
O 0.834 0.325 0.782

***

Question: Which formula does entry 5 have?
Answer: Ba2BiSeO

***

Question: Which of these has the lowest formation energy without anion corrections?
Answer: Ba3Sc2BiO9